1.
Entry from Alexandria via LeMat-Bulk: TaAl at its PBEsol-relaxed geometry (SCAN).

Geometry as extended XYZ:
```
4
Lattice="-1.343 2.272 1.223 0.234 -2.508 1.456 7.996 2.811 3.557" Properties=species:S:1:pos:R:3 pbc="T T T"
Ta 3.998 1.405 1.779
Ta 0.000 0.000 0.000
Al 5.180 2.787 3.968
Al 1.707 -0.212 2.268
```

As for the formation enthalpy at 0 K: -210 meV per atom. The volume is 16.841 A^3/atom. The calculation puts the density of states at the Fermi level at 0.97 states/eV/f.u. As for the space-group type: P6_3/mmc (194). Its crystal system is hexagonal.

2.
Entry from Alexandria via LeMat-Bulk: TaAl2 at its PBEsol-relaxed geometry (SCAN).

Geometry as extended XYZ:
```
6
Lattice="-0.429 2.770 0.545 -4.230 -1.546 -2.956 -1.780 -1.537 6.402" Properties=species:S:1:pos:R:3 pbc="T T T"
Ta -3.952 -0.162 5.186
Ta -1.517 -0.939 3.576
Al -3.946 -0.548 -0.326
Al -2.278 0.817 1.531
Al -1.810 -1.527 6.330
Al -4.122 -1.137 2.527
```

As for the formation enthalpy at 0 K: -238 meV per atom. The volume is 16.305 A^3/atom. The calculation puts the density of states at the Fermi level at 0.94 states/eV/f.u. As for the space-group type: Cm (8). Its crystal system is monoclinic.

3.
Entry from Alexandria via LeMat-Bulk: Ta2Al at its PBEsol-relaxed geometry (SCAN).

Geometry as extended XYZ:
```
6
Lattice="3.464 0.000 0.000 0.000 3.464 0.000 -1.732 -1.732 9.298" Properties=species:S:1:pos:R:3 pbc="T T T"
Ta 1.732 0.000 5.946
Ta 0.000 0.000 8.000
Ta 1.732 1.732 1.298
Ta 1.732 0.000 3.351
Al 0.000 0.000 0.000
Al 0.000 1.732 4.649
```

As for the formation enthalpy at 0 K: 602 meV per atom. The volume is 18.595 A^3/atom. The calculation puts the density of states at the Fermi level at 2.01 states/eV/f.u. As for the space-group type: I4_1/amd (141). Its crystal system is tetragonal.

4.
Entry from Alexandria via LeMat-Bulk: TaAl at its PBEsol-relaxed geometry (SCAN).

Geometry as extended XYZ:
```
2
Lattice="2.804 0.000 0.000 0.000 2.804 0.000 0.000 0.000 4.159" Properties=species:S:1:pos:R:3 pbc="T T T"
Ta 1.402 1.402 2.079
Al 0.000 0.000 0.000
```

As for the formation enthalpy at 0 K: -273 meV per atom. The volume is 16.348 A^3/atom. The calculation puts the density of states at the Fermi level at 0.89 states/eV/f.u. As for the space-group type: P4/mmm (123). Its crystal system is tetragonal.

5.
Entry from Alexandria via LeMat-Bulk: Ta3Al at its PBEsol-relaxed geometry (SCAN).

Geometry as extended XYZ:
```
4
Lattice="-2.510 -0.859 -0.912 1.446 -2.353 0.493 -3.042 -0.097 8.464" Properties=species:S:1:pos:R:3 pbc="T T T"
Al 0.000 0.000 0.000
Ta -1.521 -0.048 4.232
Ta -2.832 -1.679 6.190
Ta -1.274 -1.630 1.855
```

As for the formation enthalpy at 0 K: -118 meV per atom. The volume is 17.086 A^3/atom. The calculation puts the density of states at the Fermi level at 3.91 states/eV/f.u. As for the space-group type: Cmmm (65). Its crystal system is orthorhombic.

6.
Entry from Alexandria via LeMat-Bulk: TaAl2 at its PBEsol-relaxed geometry (SCAN).

Geometry as extended XYZ:
```
12
Lattice="3.808 0.000 0.000 0.000 5.665 0.000 0.000 0.000 8.834" Properties=species:S:1:pos:R:3 pbc="T T T"
Al 0.952 3.642 2.325
Al 2.856 4.977 3.800
Al 2.856 2.145 0.617
Al 0.952 0.688 5.034
Al 0.952 3.520 8.217
Al 0.952 0.810 2.092
Al 2.856 4.855 6.742
Al 2.856 2.023 6.509
Ta 2.856 4.979 0.903
Ta 0.952 0.686 7.931
Ta 2.856 2.147 3.514
Ta 0.952 3.518 5.320
```

As for the formation enthalpy at 0 K: -291 meV per atom. The volume is 15.878 A^3/atom. The calculation puts the density of states at the Fermi level at 1.25 states/eV/f.u. As for the space-group type: Pnma (62). Its crystal system is orthorhombic.